(1)
Here is an optimized crystal structure of Ca3NbTc from Alexandria. Energies are from GGA-PBE.

Output
* M_tot: 0.00 μB/cell
* energy above the lowest structure with this stoichiometry: 0 meV/atom
* symmetry: No. 221

Unit cell a=5.283 b=5.283 c=5.283 alpha=90.00 beta=90.00 gamma=90.00
Positions (direct):
Nb (0.500, 0.500, 0.500)
Ca (0.000, 0.500, 0.000)
Ca (0.000, 0.000, 0.500)
Ca (0.500, 0.000, 0.000)
Tc (0.000, 0.000, 0.000)



(2)
Here is an optimized crystal structure of HgPt2W from Alexandria. Energies are from GGA-PBE.

Output
* M_tot: 0.00 μB/cell
* symmetry: No. 10

Unit cell a=3.830 b=2.829 c=6.975 alpha=65.99 beta=90.00 gamma=90.00
Positions (direct):
Hg (0.500, 0.750, 0.750)
Pt (0.000, 0.968, 0.034)
Pt (0.000, 0.532, 0.466)
W (0.500, 0.250, 0.250)



| no. | formation energy (eV/atom) | calculated volume (Å³ per atom) |
| --- | --- | --- |
| 1 | 1.340 | 29.5 |
| 2 | 0.018 | 17.3 |